Entry 1:
First-principles (PBE) data for a relaxed structure of TiAl3Fe, as listed in the Alexandria database.

abc: 4.3890 4.3890 4.3890
angles: 90.00 90.00 90.00
Last column: nearest neighbours and their distance in Å.
Element x y z (fractional)
1 Ti 0.0000 0.0000 0.0000  12 Al 3.10
2 Al 0.0000 0.5000 0.5000  2 Fe 2.19
3 Al 0.5000 0.0000 0.5000  2 Fe 2.19
4 Al 0.5000 0.5000 0.0000  2 Fe 2.19
5 Fe 0.5000 0.5000 0.5000  6 Al 2.19

Calculated values
The distance to the lowest polymorph of the same formula comes out at 0 kJ/mol of formula units. As for the space-group type: Pm-3m.


Entry 2:
First-principles (PBE) data for a relaxed structure of Li2Cu4Pd3, as listed in the Alexandria database.

abc: 4.6743 4.6743 7.8842
angles: 109.58 109.58 48.16
Last column: nearest neighbours and their distance in Å.
Element x y z (fractional)
1 Li 0.1629 0.1629 0.2228  5 Pd 2.59-2.69, 7 Cu 2.59-2.76
2 Li 0.8371 0.8371 0.7772  5 Pd 2.59-2.69, 7 Cu 2.59-2.76
3 Cu 0.1668 0.1668 0.8953  4 Cu 2.58-2.64, 4 Li 2.59-2.76, 4 Pd 2.60-2.69
4 Cu 0.4950 0.4950 0.3325  3 Cu 2.61-2.64, 6 Pd 2.64-2.69, 3 Li 2.64-2.71
5 Cu 0.5050 0.5050 0.6675  3 Cu 2.61-2.64, 6 Pd 2.64-2.69, 3 Li 2.64-2.71
6 Cu 0.8332 0.8332 0.1047  4 Cu 2.58-2.64, 4 Li 2.59-2.76, 4 Pd 2.60-2.69
7 Pd 0.1697 0.1697 0.5662  3 Li 2.59-2.69, 6 Cu 2.60-2.69, 3 Pd 2.69-2.77
8 Pd 0.5000 0.5000 0.0000  4 Li 2.62, 8 Cu 2.64-2.69
9 Pd 0.8303 0.8303 0.4338  3 Li 2.59-2.69, 6 Cu 2.60-2.69, 3 Pd 2.69-2.77

Calculated values
Its calculated total energy is -4.1795 eV/atom. As for the space-group type: C2/m.


Entry 3:
First-principles (PBE) data for a relaxed structure of AcPa2Mn, as listed in the Alexandria database.

abc: 10.1222 10.1222 10.1222
angles: 21.04 21.04 21.04
Last column: nearest neighbours and their distance in Å.
Element x y z (fractional)
1 Ac 0.0000 0.0000 0.0000  2 Pa 3.49, 6 Ac 3.70
2 Pa 0.1174 0.1174 0.1174  3 Mn 2.59
3 Pa 0.8826 0.8826 0.8826  3 Mn 2.59
4 Mn 0.5000 0.5000 0.5000  6 Pa 2.59

Calculated values
Its calculated total energy is -7.6872 eV/atom. As for the space-group type: R-3m.


Entry 4:
First-principles (PBE) data for a relaxed structure of HoZrSc2, as listed in the Alexandria database.

abc: 3.3288 3.3288 10.8157
angles: 98.86 98.86 59.97
Last column: nearest neighbours and their distance in Å.
Element x y z (fractional)
1 Ho 0.0000 0.0000 0.0000  6 Ho 3.33, 6 Sc 3.38-3.42
2 Zr 0.8352 0.8352 0.5035  6 Sc 3.15-3.18, 6 Zr 3.33
3 Sc 0.4227 0.4227 0.2653  3 Zr 3.18, 6 Sc 3.33, 3 Ho 3.41-3.42
4 Sc 0.5800 0.5800 0.7383  3 Zr 3.15, 6 Sc 3.33, 3 Ho 3.38-3.39

Calculated values
The distance to the lowest polymorph of the same formula comes out at 0 kJ/mol of formula units. As for the space-group type: Cm.


Entry 5:
First-principles (PBE) data for a relaxed structure of Tb2Pm5Pb4, as listed in the Alexandria database.

abc: 13.7874 13.7874 7.5928
angles: 92.31 92.31 14.87
Last column: nearest neighbours and their distance in Å.
Element x y z (fractional)
1 Tb 0.0876 0.0876 0.2972  4 Pb 3.22-3.32, 2 Tb 3.57
2 Tb 0.9124 0.9124 0.7028  4 Pb 3.22-3.32, 2 Tb 3.57
3 Pm 0.1405 0.1405 0.8417  3 Pb 3.18-3.31
4 Pm 0.2362 0.2362 0.2144  3 Pb 3.25-3.34, 2 Pm 3.57
5 Pm 0.5000 0.5000 0.0000  4 Pb 3.26, 2 Pm 3.57
6 Pm 0.7638 0.7638 0.7856  3 Pb 3.25-3.34, 2 Pm 3.57
7 Pm 0.8595 0.8595 0.1583  3 Pb 3.18-3.31
8 Pb 0.0330 0.0330 0.6651  1 Pb 3.03, 3 Pm 3.18-3.26, 2 Tb 3.22-3.32
9 Pb 0.3274 0.3274 0.5028  5 Pm 3.25-3.34, 2 Tb 3.26, 2 Pb 3.57
10 Pb 0.6726 0.6726 0.4972  5 Pm 3.25-3.34, 2 Tb 3.26, 2 Pb 3.57
11 Pb 0.9670 0.9670 0.3349  1 Pb 3.03, 3 Pm 3.18-3.26, 2 Tb 3.22-3.32

Calculated values
Its calculated total energy is -4.4825 eV/atom. As for the space-group type: C2/m.


Entry 6:
First-principles (PBE) data for a relaxed structure of Ac5Th, as listed in the Alexandria database.

abc: 8.7984 8.7984 5.5220
angles: 90.00 90.00 143.40
Last column: nearest neighbours and their distance in Å.
Element x y z (fractional)
1 Ac 0.0000 0.0000 0.0000  8 Ac 3.84, 4 Th 3.91
2 Ac 0.1594 0.8406 0.5000  10 Ac 3.84-4.10, 2 Th 3.84
3 Ac 0.3403 0.6597 0.0000  2 Th 3.84, 10 Ac 3.84-4.09
4 Ac 0.6597 0.3403 0.0000  2 Th 3.84, 10 Ac 3.84-4.09
5 Ac 0.8406 0.1594 0.5000  10 Ac 3.84-4.10, 2 Th 3.84
6 Th 0.5000 0.5000 0.5000  12 Ac 3.84-3.91

Calculated values
Its calculated total energy is -4.5716 eV/atom. As for the space-group type: Cmmm.